1.
This record from the Alexandria database describes crystalline CdPdW3 at its relaxed geometry. The functional is PBE.

Computed properties:
For the magnetic moment, the calculation gives 0.0 μB per cell. For the energy relative to the elements, the calculation gives 2199.3 meV per atom. As for the energy above the most stable polymorph in this dataset: 0 meV per atom. For the density of states at the Fermi level, the calculation gives 7.29 states/eV/f.u.

abc: 4.756 4.756 4.756
angles: 90.00 90.00 90.00
Fractional positions:
W1 0.000 0.500 0.000
W2 0.500 0.000 0.000
W3 0.000 0.000 0.500
Pd1 0.000 0.000 0.000
Cd1 0.500 0.500 0.500

---

2.
This record from the Alexandria database describes crystalline Cd2PdW at its relaxed geometry. The functional is PBE.

Computed properties:
For the magnetic moment, the calculation gives 2.0 μB per cell. For the energy relative to the elements, the calculation gives 607.1 meV per atom. As for the energy above the most stable polymorph in this dataset: 0 meV per atom. For the density of states at the Fermi level, the calculation gives 2.70 states/eV/f.u.

abc: 4.672 4.672 4.672
angles: 60.00 60.00 60.00
Last column: magnetic moment on the atom in μB.
Fractional positions:
Pd1 0.000 0.000 0.000  0.08
W1 0.500 0.500 0.500  1.54
Cd1 0.250 0.250 0.250  0.03
Cd2 0.750 0.750 0.750  0.03

---

- Which formula does entry 1 have?
  CdPdW3